! PBE Pu3TlCu8, optimized geometry; values from VASP
&SYSTEM
  ibrav = 0, nat = 12, ntyp = 3
/
ATOMIC_SPECIES
Pu 244.00 Pu.upf
Tl 204.38 Tl.upf
Cu 63.55 Cu.upf
CELL_PARAMETERS angstrom
2.606 1.505 8.529
-2.606 1.505 8.529
0.000 -3.010 8.529
ATOMIC_POSITIONS crystal
Pu 0.000 0.000 0.000
Pu 0.124 0.124 0.124
Pu 0.627 0.627 0.627
Tl 0.500 0.500 0.500
Cu 0.062 0.062 0.564
Cu 0.062 0.564 0.062
Cu 0.064 0.563 0.563
Cu 0.313 0.313 0.313
Cu 0.563 0.064 0.563
Cu 0.563 0.563 0.064
Cu 0.564 0.062 0.062
Cu 0.813 0.813 0.813
! Magnetization ... 17.207 μB per formula unit
! DOS at the Fermi energy ... 2.425 states/eV/atom
! Energy of formation ... 0.009 eV/atom